Compound: Cd3SiN
Source: Alexandria via LeMat-Bulk
Functional: GGA-PBE
Structure: optimized geometry Values from VASP.

* energy above the most stable polymorph in this dataset: 0 meV/atom
* D(E_F): 2.887 states/eV/cell
* total moment: 0.00 μB per cell
* symmetry: Pm-3m, No. 221
* electronic total energy: -2.634 eV per atom
* energy relative to the elements, uncorrected: 665 meV per atom

Quantum ESPRESSO input file:
```
&SYSTEM
  ibrav = 0, nat = 5, ntyp = 3
/
ATOMIC_SPECIES
Cd 112.41 Cd.upf
Si 28.09 Si.upf
N 14.01 N.upf
CELL_PARAMETERS angstrom
4.596 0.000 0.000
0.000 4.596 0.000
0.000 0.000 4.596
ATOMIC_POSITIONS angstrom
Cd 0.000 0.000 2.298
Cd 0.000 2.298 0.000
Cd 2.298 0.000 0.000
Si 2.298 2.298 2.298
N 0.000 0.000 0.000
```

---

Compound: Cd2SiN2
Source: Alexandria via LeMat-Bulk
Functional: GGA-PBE
Structure: optimized geometry Values from VASP.

* energy above the most stable polymorph in this dataset: 6 meV/atom
* D(E_F): 3.359 states/eV/cell
* total moment: 0.00 μB per cell
* symmetry: P4/mbm, No. 127
* electronic total energy: -4.171 eV per atom
* energy relative to the elements, uncorrected: 610 meV per atom

Quantum ESPRESSO input file:
```
&SYSTEM
  ibrav = 0, nat = 10, ntyp = 3
/
ATOMIC_SPECIES
Cd 112.41 Cd.upf
Si 28.09 Si.upf
N 14.01 N.upf
CELL_PARAMETERS angstrom
5.157 0.000 0.000
0.000 5.157 0.000
0.000 0.000 5.617
ATOMIC_POSITIONS angstrom
Cd 0.969 1.609 0.000
Cd 1.609 4.188 0.000
Cd 3.547 0.969 0.000
Cd 4.188 3.547 0.000
Si 0.000 0.000 2.808
Si 2.578 2.578 2.808
N 1.272 1.306 2.808
N 1.306 3.884 2.808
N 3.851 1.272 2.808
N 3.884 3.851 2.808
```